Density functional theory data (PBE) for a geometry-optimized PmPu2Hg3 structure.

Cell: 3.372 3.372 13.692 Å, 90.00 90.00 90.00°
Space group P4/mmm (No. 123)
Symmetry-distinct sites (fractional):
Pm 0.000 0.000 0.000 [1 per cell]
Pu 0.000 0.000 0.333 [2 per cell]
Hg 0.500 0.500 0.167 [2 per cell]
Hg 0.500 0.500 0.500 [1 per cell]

Output
electronic total energy = -5.926 eV per atom
ΔE to the lowest computed polymorph = 18.7 meV/atom
ρ = 13.2 g cm⁻³
formation enthalpy at 0 K = -0.206 eV/atom



Density functional theory data (PBE) for a geometry-optimized PmPu2Hg structure.

Cell: 7.570 7.570 7.570 Å, 90.00 90.00 90.00°
Space group Fm-3m (No. 225)
Symmetry-distinct sites (fractional):
Pm 0.000 0.000 0.000 [4 per cell]
Pu 0.250 0.250 0.250 [8 per cell]
Hg 0.000 0.000 0.500 [4 per cell]

Output
electronic total energy = -8.282 eV per atom
ΔE to the lowest computed polymorph = 171.5 meV/atom
ρ = 12.8 g cm⁻³
formation enthalpy at 0 K = 0.147 eV/atom



Density functional theory data (PBE) for a geometry-optimized Pm2PuHg5 structure.

Cell: 5.366 5.366 14.562 Å, 90.00 90.00 90.00°
Space group I4/mmm (No. 139)
Symmetry-distinct sites (fractional):
Pm 0.000 0.000 0.235 [4 per cell]
Pu 0.000 0.000 0.500 [2 per cell]
Hg 0.000 0.000 0.000 [2 per cell]
Hg 0.000 0.500 0.123 [8 per cell]

Output
electronic total energy = -3.476 eV per atom
ρ = 12.2 g cm⁻³
formation enthalpy at 0 K = -0.309 eV/atom



Density functional theory data (PBE) for a geometry-optimized Pm4PuHg5 structure.

Cell: 3.789 3.789 19.129 Å, 90.00 90.00 90.00°
Space group P4/mmm (No. 123)
Symmetry-distinct sites (fractional):
Pm 0.000 0.000 0.100 [2 per cell]
Pm 0.000 0.000 0.301 [2 per cell]
Pu 0.000 0.000 0.500 [1 per cell]
Hg 0.500 0.500 0.000 [1 per cell]
Hg 0.500 0.500 0.200 [2 per cell]
Hg 0.500 0.500 0.399 [2 per cell]

Output
electronic total energy = -3.881 eV per atom
ρ = 11.0 g cm⁻³
formation enthalpy at 0 K = -0.396 eV/atom



Density functional theory data (PBE) for a geometry-optimized PmPuHg2 structure.

Cell: 7.582 7.582 7.582 Å, 90.00 90.00 90.00°
Space group Fm-3m (No. 225)
Symmetry-distinct sites (fractional):
Pm 0.000 0.000 0.000 [4 per cell]
Pu 0.000 0.000 0.500 [4 per cell]
Hg 0.250 0.250 0.250 [8 per cell]

Output
electronic total energy = -5.193 eV per atom
ΔE to the lowest computed polymorph = 19.2 meV/atom
ρ = 12.0 g cm⁻³
formation enthalpy at 0 K = -0.271 eV/atom



Density functional theory data (PBE) for a geometry-optimized Pm3PuHg6 structure.

Cell: 9.321 5.245 11.501 Å, 90.00 109.35 90.00°
Space group P2_1/m (No. 11)
Symmetry-distinct sites (fractional):
Pm 0.022 0.250 0.378 [2 per cell]
Pm 0.147 0.750 0.212 [2 per cell]
Pm 0.278 0.250 0.982 [2 per cell]
Pu 0.450 0.250 0.586 [2 per cell]
Hg 0.029 0.750 0.920 [2 per cell]
Hg 0.166 0.250 0.687 [2 per cell]
Hg 0.244 0.750 0.507 [2 per cell]
Hg 0.348 0.250 0.287 [2 per cell]
Hg 0.351 0.750 0.819 [2 per cell]
Hg 0.437 0.750 0.120 [2 per cell]

Output
electronic total energy = -3.388 eV per atom
ρ = 11.8 g cm⁻³
formation enthalpy at 0 K = -0.349 eV/atom



Density functional theory data (PBE) for a geometry-optimized PmPu2Hg structure.

Cell: 4.518 4.518 5.301 Å, 90.00 90.00 90.00°
Space group P4/mmm (No. 123)
Symmetry-distinct sites (fractional):
Pm 0.000 0.000 0.000 [1 per cell]
Pu 0.000 0.500 0.500 [2 per cell]
Hg 0.500 0.500 0.000 [1 per cell]

Output
electronic total energy = -8.454 eV per atom
ΔE to the lowest computed polymorph = 0.0 meV/atom
ρ = 12.8 g cm⁻³
formation enthalpy at 0 K = -0.025 eV/atom



Density functional theory data (PBE) for a geometry-optimized PmPu2Hg structure.

Cell: 4.148 4.148 6.590 Å, 90.00 90.00 90.00°
Space group P4/mmm (No. 123)
Symmetry-distinct sites (fractional):
Pm 0.000 0.000 0.000 [1 per cell]
Pu 0.500 0.500 0.270 [2 per cell]
Hg 0.000 0.000 0.500 [1 per cell]

Output
electronic total energy = -8.349 eV per atom
ΔE to the lowest computed polymorph = 104.8 meV/atom
ρ = 12.2 g cm⁻³
formation enthalpy at 0 K = 0.080 eV/atom



Density functional theory data (PBE) for a geometry-optimized PmPuHg5 structure.

Cell: 4.361 4.945 8.969 Å, 90.00 90.00 90.00°
Space group Pmmm (No. 47)
Symmetry-distinct sites (fractional):
Pm 0.000 0.000 0.000 [1 per cell]
Pu 0.500 0.500 0.500 [1 per cell]
Hg 0.000 0.500 0.247 [2 per cell]
Hg 0.500 0.000 0.275 [2 per cell]
Hg 0.500 0.500 0.000 [1 per cell]

Output
electronic total energy = -3.091 eV per atom
ρ = 11.9 g cm⁻³
formation enthalpy at 0 K = -0.149 eV/atom



Density functional theory data (PBE) for a geometry-optimized PmPuHgRh structure.

Cell: 3.541 3.541 7.666 Å, 90.00 90.00 90.00°
Space group P4mm (No. 99)
Symmetry-distinct sites (fractional):
Pm 0.000 0.000 0.000 [1 per cell]
Pu 0.000 0.000 0.564 [1 per cell]
Hg 0.500 0.500 0.282 [1 per cell]
Rh 0.500 0.500 0.774 [1 per cell]

Output
electronic total energy = -7.103 eV per atom
ΔE to the lowest computed polymorph = 0.0 meV/atom
ρ = 12.0 g cm⁻³
formation enthalpy at 0 K = -0.419 eV/atom



Density functional theory data (PBE) for a geometry-optimized PmPuHgRh structure.

Cell: 7.266 7.266 7.266 Å, 90.00 90.00 90.00°
Space group F-43m (No. 216)
Symmetry-distinct sites (fractional):
Pm 0.000 0.000 0.000 [4 per cell]
Pu 0.000 0.000 0.500 [4 per cell]
Hg 0.250 0.250 0.250 [4 per cell]
Rh 0.250 0.250 0.750 [4 per cell]

Output
electronic total energy = -7.003 eV per atom
ΔE to the lowest computed polymorph = 99.8 meV/atom
ρ = 12.0 g cm⁻³
formation enthalpy at 0 K = -0.319 eV/atom



Density functional theory data (PBE) for a geometry-optimized PmPuHgRu structure.

Cell: 7.218 7.218 7.218 Å, 90.00 90.00 90.00°
Space group F-43m (No. 216)
Symmetry-distinct sites (fractional):
Pm 0.000 0.000 0.000 [4 per cell]
Pu 0.000 0.000 0.500 [4 per cell]
Hg 0.250 0.250 0.250 [4 per cell]
Ru 0.250 0.250 0.750 [4 per cell]

Output
electronic total energy = -7.251 eV per atom
ΔE to the lowest computed polymorph = 146.9 meV/atom
ρ = 12.2 g cm⁻³
formation enthalpy at 0 K = -0.086 eV/atom



Density functional theory data (PBE) for a geometry-optimized PmPuHgRu structure.

Cell: 3.381 3.381 8.243 Å, 90.00 90.00 90.00°
Space group P4mm (No. 99)
Symmetry-distinct sites (fractional):
Pm 0.000 0.000 0.000 [1 per cell]
Pu 0.000 0.000 0.575 [1 per cell]
Hg 0.500 0.500 0.289 [1 per cell]
Ru 0.500 0.500 0.775 [1 per cell]

Output
electronic total energy = -7.398 eV per atom
ΔE to the lowest computed polymorph = 0.0 meV/atom
ρ = 12.2 g cm⁻³
formation enthalpy at 0 K = -0.233 eV/atom



Density functional theory data (PBE) for a geometry-optimized PmPuHgSb structure.

Cell: 7.613 7.613 7.613 Å, 90.00 90.00 90.00°
Space group F-43m (No. 216)
Symmetry-distinct sites (fractional):
Pm 0.000 0.000 0.000 [4 per cell]
Pu 0.000 0.000 0.500 [4 per cell]
Hg 0.250 0.250 0.750 [4 per cell]
Sb 0.250 0.250 0.250 [4 per cell]

Output
electronic total energy = -6.379 eV per atom
ρ = 10.7 g cm⁻³



Density functional theory data (PBE) for a geometry-optimized PmPuSiHg structure.

Cell: 7.366 7.366 7.366 Å, 90.00 90.00 90.00°
Space group F-43m (No. 216)
Symmetry-distinct sites (fractional):
Pm 0.000 0.000 0.000 [4 per cell]
Pu 0.000 0.000 0.500 [4 per cell]
Si 0.250 0.250 0.250 [4 per cell]
Hg 0.250 0.250 0.750 [4 per cell]

Output
electronic total energy = -6.496 eV per atom
ρ = 10.3 g cm⁻³



Density functional theory data (PBE) for a geometry-optimized PmPuTlHg structure.

Cell: 7.656 7.656 7.656 Å, 90.00 90.00 90.00°
Space group F-43m (No. 216)
Symmetry-distinct sites (fractional):
Pm 0.000 0.000 0.000 [4 per cell]
Pu 0.000 0.000 0.500 [4 per cell]
Tl 0.250 0.250 0.750 [4 per cell]
Hg 0.250 0.250 0.250 [4 per cell]

Output
electronic total energy = -5.659 eV per atom
ρ = 11.8 g cm⁻³
formation enthalpy at 0 K = -0.221 eV/atom



Density functional theory data (PBE) for a geometry-optimized PmPuTlHg structure.

Cell: 3.450 3.450 9.133 Å, 90.00 90.00 90.00°
Space group P4mm (No. 99)
Symmetry-distinct sites (fractional):
Pm 0.000 0.000 0.000 [1 per cell]
Pu 0.000 0.000 0.515 [1 per cell]
Tl 0.500 0.500 0.258 [1 per cell]
Hg 0.500 0.500 0.759 [1 per cell]

Output
electronic total energy = -5.659 eV per atom
ρ = 12.1 g cm⁻³
formation enthalpy at 0 K = -0.221 eV/atom



Density functional theory data (PBE) for a geometry-optimized PmPuZnHg structure.

Cell: 7.440 7.440 7.440 Å, 90.00 90.00 90.00°
Space group F-43m (No. 216)
Symmetry-distinct sites (fractional):
Pm 0.000 0.000 0.000 [4 per cell]
Pu 0.000 0.000 0.500 [4 per cell]
Zn 0.250 0.250 0.750 [4 per cell]
Hg 0.250 0.250 0.250 [4 per cell]

Output
electronic total energy = -5.356 eV per atom
ρ = 10.6 g cm⁻³
formation enthalpy at 0 K = -0.191 eV/atom



Density functional theory data (PBE) for a geometry-optimized RbPm4Hg5 structure.

Cell: 3.841 3.841 20.264 Å, 90.00 90.00 90.00°
Space group P4/mmm (No. 123)
Symmetry-distinct sites (fractional):
Rb 0.000 0.000 0.000 [1 per cell]
Pm 0.000 0.000 0.220 [2 per cell]
Pm 0.000 0.000 0.407 [2 per cell]
Hg 0.500 0.500 0.133 [2 per cell]
Hg 0.500 0.500 0.314 [2 per cell]
Hg 0.500 0.500 0.500 [1 per cell]

Output
electronic total energy = -2.549 eV per atom
ρ = 9.3 g cm⁻³
formation enthalpy at 0 K = -0.402 eV/atom



Density functional theory data (PBE) for a geometry-optimized RbPmHg structure.

Cell: 17.452 4.082 7.018 Å, 90.00 90.00 90.00°
Space group Amm2 (No. 38)
Symmetry-distinct sites (fractional):
Rb 0.166 0.000 0.000 [4 per cell]
Pm 0.380 0.000 0.335 [4 per cell]
Hg 0.000 0.000 0.336 [2 per cell]
Hg 0.500 0.000 0.000 [2 per cell]

Output
electronic total energy = -1.949 eV per atom
ρ = 5.7 g cm⁻³
formation enthalpy at 0 K = 0.058 eV/atom



Density functional theory data (PBE) for a geometry-optimized RbPm2HgSe4 structure.

Cell: 4.398 14.587 15.328 Å, 90.00 90.00 90.00°
Space group Cmcm (No. 63)
Symmetry-distinct sites (fractional):
Rb 0.000 0.127 0.250 [4 per cell]
Pm 0.000 0.375 0.059 [8 per cell]
Hg 0.000 0.158 0.750 [4 per cell]
Se 0.000 0.000 0.000 [4 per cell]
Se 0.000 0.262 0.601 [8 per cell]
Se 0.000 0.449 0.250 [4 per cell]

Output
electronic total energy = -4.407 eV per atom
ρ = 6.0 g cm⁻³



Density functional theory data (PBE) for a geometry-optimized RbPmHgTe3 structure.

Cell: 9.740 4.605 11.066 Å, 90.00 108.33 90.00°
Space group P2_1/m (No. 11)
Symmetry-distinct sites (fractional):
Rb 0.223 0.250 0.255 [2 per cell]
Pm 0.322 0.750 0.863 [2 per cell]
Hg 0.090 0.250 0.618 [2 per cell]
Te 0.096 0.250 0.874 [2 per cell]
Te 0.229 0.750 0.546 [2 per cell]
Te 0.465 0.750 0.158 [2 per cell]

Output
electronic total energy = -3.543 eV per atom
ρ = 5.7 g cm⁻³



Density functional theory data (PBE) for a geometry-optimized RbPm2HgTe4 structure.

Cell: 4.574 15.531 16.725 Å, 90.00 90.00 90.00°
Space group Cmcm (No. 63)
Symmetry-distinct sites (fractional):
Rb 0.000 0.130 0.250 [4 per cell]
Pm 0.000 0.376 0.066 [8 per cell]
Hg 0.000 0.173 0.750 [4 per cell]
Te 0.000 0.000 0.000 [4 per cell]
Te 0.000 0.263 0.597 [8 per cell]
Te 0.000 0.447 0.250 [4 per cell]

Output
electronic total energy = -3.951 eV per atom
ρ = 6.1 g cm⁻³



Density functional theory data (PBE) for a geometry-optimized PmReHg structure.

Cell: 2.983 4.324 10.182 Å, 90.00 90.01 90.00°
Space group P2_1/m (No. 11)
Symmetry-distinct sites (fractional):
Pm 0.250 0.250 0.118 [2 per cell]
Re 0.251 0.250 0.724 [2 per cell]
Hg 0.250 0.250 0.420 [2 per cell]

Output
electronic total energy = -5.135 eV per atom
ρ = 13.4 g cm⁻³
formation enthalpy at 0 K = 0.698 eV/atom



Density functional theory data (PBE) for a geometry-optimized Pm6HgRh5 structure.

Cell: 7.429 11.264 7.287 Å, 90.00 104.59 90.00°
Space group C2/m (No. 12)
Symmetry-distinct sites (fractional):
Pm 0.197 0.000 0.217 [4 per cell]
Pm 0.219 0.180 0.717 [8 per cell]
Hg 0.000 0.500 0.000 [2 per cell]
Rh 0.000 0.000 0.500 [2 per cell]
Rh 0.000 0.200 0.000 [4 per cell]
Rh 0.000 0.374 0.500 [4 per cell]

Output
electronic total energy = -5.998 eV per atom
ΔE to the lowest computed polymorph = 104.0 meV/atom
ρ = 8.9 g cm⁻³
formation enthalpy at 0 K = -0.535 eV/atom